This record from the Alexandria database describes a relaxed structure of SrCa2LaS4. The functional is GGA-PBE.

Output
ΔE_f (raw) (meV per atom): -2109

Unit cell a=7.1392 b=4.1190 c=7.1632 alpha=90.00 beta=109.42 gamma=90.00
Sites, in units of the cell vectors:
1 Sr 0.0000 0.0000 0.0000
2 Ca 0.5000 0.0000 0.5000
3 Ca 0.5000 0.5000 0.0000
4 La 0.0000 0.5000 0.5000
5 S 0.2596 0.0000 0.7503
6 S 0.2607 0.5000 0.2580
7 S 0.7393 0.5000 0.7420
8 S 0.7404 0.0000 0.2497